(1)
Computed, not measured: an optimized crystal structure of Tl2CdHg at the PBE level of DFT.

Crystal system: monoclinic
E (eV/cell): -11.6
V (Å³ per cell): 231
Energy relative to the elements (meV per atom): 38

Lattice parameters (Å, degrees): 8.7299 4.9365 6.0233 90.00 117.04 90.00
Closest atoms and distances in Å follow each position.
Space group Cm (No. 8)
Inequivalent atoms, fractional coordinates:
Tl 0.0000 0.0000 0.0000 x2  3 Hg 3.19-3.20, 3 Tl 3.28-3.31
Tl 0.2325 0.0000 0.6994 x2  3 Cd 3.20-3.22, 3 Tl 3.28-3.31
Cd 0.4781 0.0000 0.4350 x2  3 Hg 3.03, 3 Tl 3.20-3.22
Hg 0.2527 0.5000 0.2600 x2  3 Cd 3.03, 3 Tl 3.19-3.20

(2)
Computed, not measured: an optimized crystal structure of Tl2CdHg at the PBE level of DFT.

Crystal system: monoclinic
E (eV/cell): -5.8
V (Å³ per cell): 112
Energy relative to the elements (meV per atom): 31

Lattice parameters (Å, degrees): 3.4277 5.0352 6.5092 90.00 90.43 90.00
Closest atoms and distances in Å follow each position.
Space group P2/m (No. 10)
Inequivalent atoms, fractional coordinates:
Tl 0.1069 0.0000 0.2489 x2  4 Hg 3.29-3.66, 4 Cd 3.29-3.64, 4 Tl 3.32-3.43
Cd 0.5000 0.5000 0.0000 x1  2 Hg 3.25, 8 Tl 3.29-3.64, 2 Cd 3.43
Hg 0.5000 0.5000 0.5000 x1  2 Cd 3.25, 4 Tl 3.29, 2 Hg 3.43

(3)
Computed, not measured: an optimized crystal structure of Tl2Cd4Hg at the PBE level of DFT.

Crystal system: tetragonal
E (eV/cell): -14.3
V (Å³ per cell): 468
Energy relative to the elements (meV per atom): 222

Lattice parameters (Å, degrees): 5.5057 5.5057 15.4531 90.00 90.00 90.00
Closest atoms and distances in Å follow each position.
Space group I4/mmm (No. 139)
Inequivalent atoms, fractional coordinates:
Tl 0.0000 0.0000 0.1195 x4  5 Cd 2.99-3.31
Cd 0.0000 0.0000 0.3130 x4  1 Hg 2.89, 1 Tl 2.99
Cd 0.0000 0.5000 0.0000 x4  2 Hg 2.75
Hg 0.0000 0.0000 0.5000 x2  6 Cd 2.75-2.89